Computed, not measured: crystalline Rb5Mo2Br12 at its relaxed geometry at the PBE level of DFT.

As for the density: 3.288 g/cm³. The calculation puts the energy relative to the elements, uncorrected at -1093 meV/atom. The value obtained for the total energy is -0.130 Ha/atom.

The structure belongs to space group C2/m (No. 12); the cell edges are 18.919, 7.900 and 11.111 Å and the angles 90.00°, 106.33° and 90.00°. The inequivalent atoms are Rb at (0.000, 0.000, 0.000), Rb at (0.195, 0.500, 0.336), Rb at (0.199, 0.500, 0.874), Mo at (0.000, 0.250, 0.500), Br at (0.001, 0.500, 0.341), Br at (0.002, 0.000, 0.343), Br at (0.141, 0.254, 0.572) and Br at (0.150, 0.249, 0.087).